<one>
A relaxed TbGe2Pd7 crystal, computed with PBE.

## Properties
M_tot ... 0.000 μB/cell

a b c (Å): 4.099 4.099 10.629
angles (deg): 101.12 101.12 90.00
Fractional coordinates of all 10 atoms:
1 Ge 0.325 0.325 0.651
2 Ge 0.675 0.675 0.349
3 Pd 0.604 0.104 0.208
4 Pd 0.750 0.250 0.500
5 Pd 0.250 0.750 0.500
6 Pd 0.104 0.604 0.208
7 Pd 0.500 0.500 0.000
8 Pd 0.896 0.396 0.792
9 Pd 0.396 0.896 0.792
10 Tb 0.000 0.000 0.000



<two>
A relaxed TbGe2Pd7 crystal, computed with PBE.

## Properties
M_tot ... 0.000 μB/cell

a b c (Å): 4.506 7.093 7.093
angles (deg): 117.51 90.00 90.00
Fractional coordinates of all 10 atoms:
1 Ge 0.500 0.302 0.698
2 Pd 0.500 0.691 0.935
3 Pd 0.500 0.500 0.500
4 Pd 0.500 0.309 0.065
5 Pd 0.000 0.231 0.769
6 Pd 0.000 0.769 0.231
7 Ge 0.500 0.698 0.302
8 Pd 0.500 0.935 0.691
9 Pd 0.500 0.065 0.309
10 Tb 0.000 0.000 0.000



Energy above the most stable structure, in meV/atom: <one> 0; <two> 314



<one>
A relaxed TbGePd6 crystal, computed with PBE.

## Properties
M_tot ... 0.000 μB/cell

a b c (Å): 4.090 4.090 7.856
angles (deg): 90.00 90.00 90.00
Fractional coordinates of all 8 atoms:
1 Pd 0.000 0.500 0.268
2 Pd 0.500 0.000 0.732
3 Pd 0.500 0.500 0.000
4 Tb 0.000 0.000 0.000
5 Ge 0.000 0.000 0.500
6 Pd 0.000 0.500 0.732
7 Pd 0.500 0.000 0.268
8 Pd 0.500 0.500 0.500



<two>
A relaxed TbGePd6 crystal, computed with PBE.

## Properties
M_tot ... 0.000 μB/cell

a b c (Å): 5.512 5.512 6.990
angles (deg): 66.78 66.78 60.00
Fractional coordinates of all 8 atoms:
1 Pd 0.438 0.923 0.716
2 Pd 0.923 0.438 0.716
3 Pd 0.077 0.077 0.284
4 Ge 0.000 0.000 0.000
5 Tb 0.500 0.500 0.500
6 Pd 0.562 0.077 0.284
7 Pd 0.077 0.562 0.284
8 Pd 0.923 0.923 0.716



Energy above the most stable structure, in meV/atom: <one> 0; <two> 299



<one>
A relaxed Tb3Ge3Pd2 crystal, computed with PBE.

## Properties
M_tot ... 0.000 μB/cell

a b c (Å): 5.791 8.021 14.526
angles (deg): 90.00 90.00 90.00
Fractional coordinates of all 32 atoms:
1 Tb 0.365 0.963 0.110
2 Tb 0.635 0.037 0.890
3 Tb 0.872 0.815 0.250
4 Tb 0.128 0.185 0.750
5 Ge 0.100 0.201 0.540
6 Ge 0.617 0.320 0.750
7 Pd 0.624 0.589 0.395
8 Pd 0.876 0.089 0.105
9 Pd 0.124 0.911 0.895
10 Ge 0.900 0.799 0.460
11 Ge 0.117 0.180 0.250
12 Pd 0.376 0.411 0.895
13 Ge 0.600 0.299 0.460
14 Tb 0.865 0.537 0.890
15 Ge 0.400 0.701 0.960
16 Ge 0.900 0.799 0.040
17 Ge 0.383 0.680 0.250
18 Tb 0.865 0.537 0.610
19 Ge 0.600 0.299 0.040
20 Pd 0.876 0.089 0.395
21 Tb 0.635 0.037 0.610
22 Tb 0.135 0.463 0.110
23 Pd 0.624 0.589 0.105
24 Tb 0.135 0.463 0.390
25 Ge 0.400 0.701 0.540
26 Pd 0.376 0.411 0.605
27 Ge 0.100 0.201 0.960
28 Tb 0.372 0.685 0.750
29 Tb 0.365 0.963 0.390
30 Tb 0.628 0.315 0.250
31 Ge 0.883 0.820 0.750
32 Pd 0.124 0.911 0.605



<two>
A relaxed Tb3Ge3Pd2 crystal, computed with PBE.

## Properties
M_tot ... 0.000 μB/cell

a b c (Å): 4.346 5.720 14.465
angles (deg): 90.00 90.00 112.33
Fractional coordinates of all 16 atoms:
1 Ge 0.611 0.221 0.461
2 Ge 0.346 0.692 0.250
3 Pd 0.797 0.595 0.600
4 Pd 0.797 0.595 0.900
5 Tb 0.911 0.822 0.109
6 Tb 0.363 0.726 0.750
7 Ge 0.654 0.308 0.750
8 Ge 0.389 0.779 0.539
9 Ge 0.389 0.779 0.961
10 Tb 0.911 0.822 0.391
11 Pd 0.203 0.405 0.400
12 Tb 0.089 0.178 0.609
13 Ge 0.611 0.221 0.039
14 Tb 0.089 0.178 0.891
15 Tb 0.637 0.274 0.250
16 Pd 0.203 0.405 0.100



Energy above the most stable structure, in meV/atom: <one> 54; <two> 0



<one>
A relaxed TbTmGePd crystal, computed with PBE.

## Properties
M_tot ... 0.000 μB/cell

a b c (Å): 4.990 4.990 4.990
angles (deg): 60.00 60.00 60.00
Fractional coordinates of all 4 atoms:
1 Ge 0.250 0.250 0.250
2 Tm 0.000 0.000 0.000
3 Pd 0.750 0.750 0.750
4 Tb 0.500 0.500 0.500



<two>
A relaxed TbTmGePd crystal, computed with PBE.

## Properties
M_tot ... 0.000 μB/cell

a b c (Å): 3.878 4.300 5.759
angles (deg): 90.00 109.68 90.00
Fractional coordinates of all 4 atoms:
1 Tm 0.138 0.000 0.275
2 Pd 0.420 0.000 0.840
3 Ge 0.583 0.500 0.166
4 Tb 0.859 0.500 0.718



Energy above the most stable structure, in meV/atom: <one> 79; <two> 0